No. 1
TlIn2Mo: single point on PBEsol structure, meta-GGA SCAN.

Properties
Energy relative to the lowest polymorph listed for this composition ... 0.000 eV/atom
Crystal system ... tetragonal
Energy of formation ... 36.0 kJ/mol of atoms

Cell lengths 3.0126, 3.0126, 9.5365 Å; angles 90.00, 90.00, 90.00 degrees
Fractional positions:
Tl1 0.5000 0.5000 0.5000
In1 0.0000 0.0000 0.7893
In2 0.0000 0.0000 0.2107
Mo1 0.5000 0.5000 0.0000

=====

No. 2
TlIn2Mo: single point on PBEsol structure, meta-GGA SCAN.

Properties
Energy relative to the lowest polymorph listed for this composition ... 0.103 eV/atom
Crystal system ... tetragonal
Energy of formation ... 46.0 kJ/mol of atoms

Cell lengths 4.1829, 4.1777, 5.4707 Å; angles 112.45, 112.48, 90.00 degrees
Fractional positions:
In1 0.0000 0.0000 0.0000
In2 0.7498 0.2498 0.4997
Mo1 0.5000 0.5000 0.0000
Tl1 0.2502 0.7502 0.5003

=====

No. 3
TlIn2Mo: single point on PBEsol structure, meta-GGA SCAN.

Properties
Energy relative to the lowest polymorph listed for this composition ... 0.156 eV/atom
Crystal system ... orthorhombic
Energy of formation ... 51.1 kJ/mol of atoms

Cell lengths 3.0929, 5.3311, 5.3311 Å; angles 112.01, 90.00, 90.00 degrees
Fractional positions:
In1 0.0000 0.0000 0.5000
In2 0.0000 0.5000 0.0000
Mo1 0.5000 0.0000 0.0000
Tl1 0.5000 0.5000 0.5000

=====

No. 4
InMo2W: single point on PBEsol structure, meta-GGA SCAN.

Properties
Crystal system ... monoclinic
Energy of formation ... 32.2 kJ/mol of atoms

Cell lengths 2.7600, 4.4546, 5.4975 Å; angles 90.00, 103.59, 90.00 degrees
Fractional positions:
Mo1 0.7513 0.5000 0.2514
Mo2 0.9733 0.0000 0.0100
W1 0.5235 0.0000 0.4860
In1 0.2519 0.5000 0.7526

=====

No. 5
InMoW: single point on PBEsol structure, meta-GGA SCAN.

Properties
Energy relative to the lowest polymorph listed for this composition ... 0.000 eV/atom
Crystal system ... orthorhombic
Energy of formation ... 33.9 kJ/mol of atoms

Cell lengths 2.8519, 2.8519, 7.0450 Å; angles 97.23, 97.23, 112.24 degrees
Fractional positions:
In1 0.9992 0.9992 0.9984
W1 0.6761 0.6761 0.3521
Mo1 0.3247 0.3247 0.6495

=====

No. 6
InMoW: single point on PBEsol structure, meta-GGA SCAN.

Properties
Energy relative to the lowest polymorph listed for this composition ... 0.236 eV/atom
Crystal system ... trigonal
Energy of formation ... 56.7 kJ/mol of atoms

Cell lengths 2.8682, 2.8682, 7.1712 Å; angles 90.00, 90.00, 120.00 degrees
Fractional positions:
Mo1 0.3333 0.6667 0.6581
W1 0.6667 0.3333 0.3432
In1 0.0000 0.0000 0.9987

=====

No. 7
Y2InMo: single point on PBEsol structure, meta-GGA SCAN.

Properties
Crystal system ... monoclinic
Energy of formation ... 7.8 kJ/mol of atoms

Cell lengths 3.2726, 4.9778, 5.9580 Å; angles 90.00, 105.80, 90.00 degrees
Fractional positions:
Y1 0.7170 0.5000 0.3067
Y2 0.0316 0.0000 0.9403
Mo1 0.4439 0.5000 0.7644
In1 0.3076 0.0000 0.4886

=====

No. 8
YInMo2: single point on PBEsol structure, meta-GGA SCAN.

Properties
Crystal system ... tetragonal
Energy of formation ... 50.6 kJ/mol of atoms

Cell lengths 2.8616, 2.8616, 9.2776 Å; angles 90.00, 90.00, 90.00 degrees
Fractional positions:
Mo1 0.0000 0.0000 0.7327
Mo2 0.0000 0.0000 0.2673
Y1 0.5000 0.5000 0.0000
In1 0.5000 0.5000 0.5000